(1)
# PBE-GGA Al2PAuI, optimized geometry
# * raw formation energy: 1.12 eV per formula unit
# * total magnetization: 0.0 μB per formula unit
data_Al2PAuI
_symmetry_space_group_name_H-M 'P 4/m m m'
_symmetry_Int_Tables_number 123
_symmetry_space_group_name_Hall '-P 4 2'
_cell_length_a 5.0523
_cell_length_b 5.0523
_cell_length_c 4.8077
_cell_angle_alpha 90.00
_cell_angle_beta 90.00
_cell_angle_gamma 90.00
loop_
_atom_site_label
_atom_site_fract_x
_atom_site_fract_y
_atom_site_fract_z
Al1 0.0000 0.5000 0.0000
P1 0.0000 0.0000 0.0000
Au1 0.0000 0.0000 0.5000
I1 0.5000 0.5000 0.5000

(2)
# PBE-GGA NbRu3S, optimized geometry
# * raw formation energy: 2.16 eV per formula unit
# * energy above the most stable polymorph in this dataset: 0.000 eV per atom
# * total magnetization: 0.0 μB per formula unit
data_NbRu3S
_symmetry_space_group_name_H-M 'P m -3 m'
_symmetry_Int_Tables_number 221
_symmetry_space_group_name_Hall '-P 4 2 3'
_cell_length_a 4.3238
_cell_length_b 4.3238
_cell_length_c 4.3238
_cell_angle_alpha 90.00
_cell_angle_beta 90.00
_cell_angle_gamma 90.00
loop_
_atom_site_label
_atom_site_fract_x
_atom_site_fract_y
_atom_site_fract_z
Nb1 0.0000 0.0000 0.0000
Ru1 0.0000 0.5000 0.5000
S1 0.5000 0.5000 0.5000

(3)
# PBE-GGA PuPaIn2, optimized geometry
# * formation enthalpy at 0 K: -98 meV/atom
# * energy above the most stable polymorph in this dataset: 0.008 eV per atom
# * total magnetization: 4.9 μB per formula unit
data_PuPaIn2
_symmetry_space_group_name_H-M 'P 4/m m m'
_symmetry_Int_Tables_number 123
_symmetry_space_group_name_Hall '-P 4 2'
_cell_length_a 3.1785
_cell_length_b 3.1785
_cell_length_c 9.9306
_cell_angle_alpha 90.00
_cell_angle_beta 90.00
_cell_angle_gamma 90.00
loop_
_atom_site_label
_atom_site_fract_x
_atom_site_fract_y
_atom_site_fract_z
Pu1 0.0000 0.0000 0.0000
Pa1 0.0000 0.0000 0.5000
In1 0.5000 0.5000 0.2505

(4)
# PBE-GGA B5C, optimized geometry
# * formation enthalpy at 0 K: 440 meV/atom
# * energy above the most stable polymorph in this dataset: 0.243 eV per atom
# * total magnetization: 0.0 μB per formula unit
data_B5C
_symmetry_space_group_name_H-M 'C 1 2/m 1'
_symmetry_Int_Tables_number 12
_symmetry_space_group_name_Hall '-C 2y'
_cell_length_a 14.9682
_cell_length_b 2.6271
_cell_length_c 4.2446
_cell_angle_alpha 90.00
_cell_angle_beta 97.89
_cell_angle_gamma 90.00
loop_
_atom_site_label
_atom_site_fract_x
_atom_site_fract_y
_atom_site_fract_z
B1 0.0424 0.0000 0.1963
B2 0.1078 0.5000 0.6584
B3 0.1216 0.5000 0.1972
B4 0.2084 0.5000 0.9669
B5 0.2112 0.5000 0.5010
C1 0.0462 0.0000 0.6395

(5)
# PBE-GGA Rb4As2Pt, optimized geometry
# * formation enthalpy at 0 K: -383 meV/atom
# * total magnetization: 1.5 μB per formula unit
data_Rb4As2Pt
_symmetry_space_group_name_H-M 'R -3 m'
_symmetry_Int_Tables_number 166
_symmetry_space_group_name_Hall '-R 3 2"'
_cell_length_a 5.9385
_cell_length_b 5.9385
_cell_length_c 28.3204
_cell_angle_alpha 90.00
_cell_angle_beta 90.00
_cell_angle_gamma 120.00
loop_
_atom_site_label
_atom_site_fract_x
_atom_site_fract_y
_atom_site_fract_z
Rb1 0.0000 0.0000 0.1294
Rb2 0.0000 0.0000 0.2905
As1 0.0000 0.0000 0.4163
Pt1 0.0000 0.0000 0.5000

(6)
# PBE-GGA KTcCl2, optimized geometry
# * raw formation energy: -1.68 eV per formula unit
# * energy above the most stable polymorph in this dataset: 0.000 eV per atom
# * total magnetization: 3.4 μB per formula unit
data_KTcCl2
_symmetry_space_group_name_H-M 'P 4/m m m'
_symmetry_Int_Tables_number 123
_symmetry_space_group_name_Hall '-P 4 2'
_cell_length_a 5.0910
_cell_length_b 5.0910
_cell_length_c 3.7546
_cell_angle_alpha 90.00
_cell_angle_beta 90.00
_cell_angle_gamma 90.00
loop_
_atom_site_label
_atom_site_fract_x
_atom_site_fract_y
_atom_site_fract_z
K1 0.0000 0.0000 0.0000
Tc1 0.5000 0.5000 0.5000
Cl1 0.0000 0.5000 0.5000

Question: total magnetization of number 4 (B5C)?
Answer: 0.0 μB per formula unit

Question: The highest total magnetization belongs to which entry?
Answer: PuPaIn2

Question: Which formula does entry 5 have?
Answer: Rb4As2Pt